No. 1
Entry from the Alexandria database: a relaxed BaOs2W crystal (GGA-PBE).

Cell lengths 7.5420, 7.5420, 6.6033 Å; angles 90.00, 90.00, 90.00 degrees
Space group I-42d (No. 122)
Asymmetric unit:
Ba: 0.0000 0.0000 0.0000 [4 per cell]
Os: 0.1784 0.2500 0.6250 [8 per cell]
W: 0.0000 0.0000 0.5000 [4 per cell]

Calculated values
- Formation enthalpy at 0 K: 1213 meV/atom
- Energy above the lowest structure with this stoichiometry: 2.49 eV per formula unit
- Crystal system: tetragonal
- DOS(E_F): 7.506 states/eV/cell

***

No. 2
Entry from the Alexandria database: a relaxed BaOs2W crystal (GGA-PBE).

Cell lengths 6.7424, 6.7424, 6.7424 Å; angles 90.00, 90.00, 90.00 degrees
Space group Fm-3m (No. 225)
Asymmetric unit:
Ba: 0.0000 0.0000 0.0000 [4 per cell]
Os: 0.2500 0.2500 0.2500 [8 per cell]
W: 0.0000 0.0000 0.5000 [4 per cell]

Calculated values
- Formation enthalpy at 0 K: 1422 meV/atom
- Energy above the lowest structure with this stoichiometry: 3.33 eV per formula unit
- Crystal system: cubic
- DOS(E_F): 8.815 states/eV/cell

***

No. 3
Entry from the Alexandria database: a relaxed Ba2YOs crystal (GGA-PBE).

Cell lengths 3.8152, 3.8152, 34.2451 Å; angles 90.00, 90.00, 120.00 degrees
Space group R-3m (No. 166, hexagonal axes)
Asymmetric unit:
Ba: 0.0000 0.0000 0.2298 [6 per cell]
Y: 0.0000 0.0000 0.0000 [3 per cell]
Os: 0.0000 0.0000 0.5000 [3 per cell]

Calculated values
- Formation enthalpy at 0 K: 903 meV/atom
- Energy above the lowest structure with this stoichiometry: 2.66 eV per formula unit
- Crystal system: trigonal
- DOS(E_F): 20.230 states/eV/cell

***

No. 4
Entry from the Alexandria database: a relaxed Ba2YOs crystal (GGA-PBE).

Cell lengths 4.6068, 4.6068, 11.2000 Å; angles 90.00, 90.00, 90.00 degrees
Space group I4/mmm (No. 139)
Asymmetric unit:
Ba: 0.0000 0.5000 0.2500 [4 per cell]
Y: 0.0000 0.0000 0.0000 [2 per cell]
Os: 0.0000 0.0000 0.5000 [2 per cell]

Calculated values
- Formation enthalpy at 0 K: 762 meV/atom
- Energy above the lowest structure with this stoichiometry: 2.09 eV per formula unit
- Crystal system: tetragonal
- DOS(E_F): 8.939 states/eV/cell

***

No. 5
Entry from the Alexandria database: a relaxed BaYOs4 crystal (GGA-PBE).

Cell lengths 7.7563, 7.7563, 7.7563 Å; angles 90.00, 90.00, 90.00 degrees
Space group F-43m (No. 216)
Asymmetric unit:
Ba: 0.0000 0.0000 0.0000 [4 per cell]
Y: 0.2500 0.2500 0.2500 [4 per cell]
Os: 0.1243 0.1243 0.6243 [16 per cell]

Calculated values
- Formation enthalpy at 0 K: 361 meV/atom
- Crystal system: cubic
- DOS(E_F): 42.989 states/eV/cell

***

No. 6
Entry from the Alexandria database: a relaxed Ba2YOs crystal (GGA-PBE).

Cell lengths 5.5213, 5.5213, 7.7951 Å; angles 90.00, 90.00, 90.00 degrees
Space group I-4m2 (No. 119)
Asymmetric unit:
Ba: 0.0000 0.0000 0.0000 [2 per cell]
Ba: 0.0000 0.5000 0.2500 [2 per cell]
Y: 0.0000 0.5000 0.7500 [2 per cell]
Os: 0.0000 0.0000 0.5000 [2 per cell]

Calculated values
- Formation enthalpy at 0 K: 688 meV/atom
- Energy above the lowest structure with this stoichiometry: 1.80 eV per formula unit
- Crystal system: tetragonal
- DOS(E_F): 6.868 states/eV/cell

***

No. 7
Entry from the Alexandria database: a relaxed Ba2YOs crystal (GGA-PBE).

Cell lengths 3.9310, 6.1850, 12.1872 Å; angles 90.00, 90.00, 90.00 degrees
Space group Imm2 (No. 44)
Asymmetric unit:
Ba: 0.0000 0.0000 0.0000 [2 per cell]
Ba: 0.0000 0.5000 0.1788 [2 per cell]
Y: 0.0000 0.0000 0.3525 [2 per cell]
Os: 0.0000 0.5000 0.7042 [2 per cell]

Calculated values
- Formation enthalpy at 0 K: 364 meV/atom
- Energy above the lowest structure with this stoichiometry: 0.50 eV per formula unit
- Crystal system: orthorhombic
- DOS(E_F): 6.786 states/eV/cell

***

No. 8
Entry from the Alexandria database: a relaxed Ba2YOs crystal (GGA-PBE).

Cell lengths 7.8559, 7.8559, 7.8559 Å; angles 90.00, 90.00, 90.00 degrees
Space group Fm-3m (No. 225)
Asymmetric unit:
Ba: 0.2500 0.2500 0.2500 [8 per cell]
Y: 0.0000 0.0000 0.0000 [4 per cell]
Os: 0.0000 0.0000 0.5000 [4 per cell]

Calculated values
- Formation enthalpy at 0 K: 905 meV/atom
- Energy above the lowest structure with this stoichiometry: 2.67 eV per formula unit
- Crystal system: cubic
- DOS(E_F): 19.233 states/eV/cell

***

No. 9
Entry from the Alexandria database: a relaxed Ba2YOs crystal (GGA-PBE).

Cell lengths 5.4090, 15.7613, 4.2506 Å; angles 90.00, 90.00, 90.00 degrees
Space group Cmmm (No. 65)
Asymmetric unit:
Ba: 0.0000 0.1418 0.0000 [4 per cell]
Y: 0.0000 0.5000 0.5000 [2 per cell]
Os: 0.0000 0.0000 0.5000 [2 per cell]

Calculated values
- Formation enthalpy at 0 K: 361 meV/atom
- Energy above the lowest structure with this stoichiometry: 0.49 eV per formula unit
- Crystal system: orthorhombic
- DOS(E_F): 5.350 states/eV/cell

***

No. 10
Entry from the Alexandria database: a relaxed Ba2YOs crystal (GGA-PBE).

Cell lengths 3.5994, 4.6776, 18.2618 Å; angles 90.00, 90.00, 90.00 degrees
Space group Immm (No. 71)
Asymmetric unit:
Ba: 0.0000 0.0000 0.1479 [4 per cell]
Y: 0.0000 0.5000 0.0000 [2 per cell]
Os: 0.0000 0.5000 0.5000 [2 per cell]

Calculated values
- Formation enthalpy at 0 K: 274 meV/atom
- Energy above the lowest structure with this stoichiometry: 0.14 eV per formula unit
- Crystal system: orthorhombic
- DOS(E_F): 7.526 states/eV/cell

***

No. 11
Entry from the Alexandria database: a relaxed Ba2YOs crystal (GGA-PBE).

Cell lengths 11.5099, 11.5099, 5.3817 Å; angles 90.00, 90.00, 90.00 degrees
Space group I-42d (No. 122)
Asymmetric unit:
Ba: 0.1000 0.7500 0.1250 [8 per cell]
Y: 0.0000 0.0000 0.5000 [4 per cell]
Os: 0.0000 0.0000 0.0000 [4 per cell]

Calculated values
- Formation enthalpy at 0 K: 508 meV/atom
- Energy above the lowest structure with this stoichiometry: 1.08 eV per formula unit
- Crystal system: tetragonal
- DOS(E_F): 21.073 states/eV/cell

***

No. 12
Entry from the Alexandria database: a relaxed Ba2YOs crystal (GGA-PBE).

Cell lengths 9.7831, 4.0029, 8.8797 Å; angles 90.00, 107.01, 90.00 degrees
Space group Cm (No. 8)
Asymmetric unit:
Ba: 0.0000 0.0000 0.0000 [2 per cell]
Ba: 0.1518 0.0000 0.5693 [2 per cell]
Y: 0.3120 0.5000 0.2841 [2 per cell]
Os: 0.0180 0.5000 0.2847 [2 per cell]

Calculated values
- Formation enthalpy at 0 K: 266 meV/atom
- Energy above the lowest structure with this stoichiometry: 0.11 eV per formula unit
- Crystal system: monoclinic
- DOS(E_F): 5.537 states/eV/cell